Entry A
Below is crystalline La2YZnS at its relaxed geometry, with properties calculated at the PBE-GGA level.

The space group is P4/mmm (No. 123) and the conventional cell measures 5.796, 5.796 and 4.959 Å, with angles of 90.00, 90.00 and 90.00 degrees. Symmetry generates all atoms from La at (0.000, 0.500, 0.000), Y at (0.000, 0.000, 0.000), Zn at (0.000, 0.000, 0.500) and S at (0.500, 0.500, 0.500).

The calculated density is 4.627 g cm⁻³.

***

Entry B
Below is crystalline La2YZnS at its relaxed geometry, with properties calculated at the PBE-GGA level.

The space group is P4/mmm (No. 123) and the conventional cell measures 5.543, 5.543 and 4.870 Å, with angles of 90.00, 90.00 and 90.00 degrees. Symmetry generates all atoms from La at (0.000, 0.500, 0.000), Y at (0.000, 0.000, 0.500), Zn at (0.500, 0.500, 0.500) and S at (0.500, 0.500, 0.000).

The calculated density is 5.151 g cm⁻³.

***

Bottom line: entry B, by a margin of 89.5 kJ/mol of atoms.

***

Entry A
Below is crystalline LaZr3S at its relaxed geometry, with properties calculated at the PBE-GGA level.

The space group is Pm-3m (No. 221) and the conventional cell measures 5.137, 5.137 and 5.137 Å, with angles of 90.00, 90.00 and 90.00 degrees. Symmetry generates all atoms from La at (0.000, 0.000, 0.000), Zr at (0.000, 0.000, 0.500) and S at (0.500, 0.500, 0.500).

The calculated density is 5.447 g cm⁻³.

***

Entry B
Below is crystalline LaZr3S at its relaxed geometry, with properties calculated at the PBE-GGA level.

The space group is Pm-3m (No. 221) and the conventional cell measures 5.002, 5.002 and 5.002 Å, with angles of 90.00, 90.00 and 90.00 degrees. Symmetry generates all atoms from La at (0.000, 0.000, 0.000), Zr at (0.000, 0.500, 0.500) and S at (0.500, 0.500, 0.500).

The calculated density is 5.899 g cm⁻³.

***

Bottom line: entry B, by a margin of 175.2 kJ/mol of atoms.

***

Entry A
Below is crystalline La2ZrS5 at its relaxed geometry, with properties calculated at the PBE-GGA level.

The space group is Pnma (No. 62) and the conventional cell measures 11.578, 8.234 and 7.443 Å, with angles of 90.00, 90.00 and 90.00 degrees. Symmetry generates all atoms from La at (0.173, 0.001, 0.054), Zr at (0.010, 0.250, 0.574), S at (0.004, 0.250, 0.942), S at (0.076, 0.535, 0.675), S at (0.191, 0.250, 0.357) and S at (0.208, 0.750, 0.337).

The calculated density is 4.955 g cm⁻³.

***

Entry B
Below is crystalline La2ZrS5 at its relaxed geometry, with properties calculated at the PBE-GGA level.

The space group is Cmcm (No. 63) and the conventional cell measures 5.311, 14.037 and 13.138 Å, with angles of 90.00, 90.00 and 90.00 degrees. Symmetry generates all atoms from La at (0.000, 0.143, 0.067), Zr at (0.000, 0.183, 0.750), S at (0.000, 0.050, 0.623), S at (0.000, 0.273, 0.250) and S at (0.000, 0.295, 0.589).

The calculated density is 3.590 g cm⁻³.

***

Bottom line: entry A, by a margin of 12.2 kJ/mol of atoms.